Entry 1:
Below is crystalline Ac3Nd2Sm6 at its relaxed geometry, with properties calculated at the PBE level.

spin magnetization	0.00	μB per formula unit
theoretical density	7.4	g cm⁻³
symmetry	C2/m, No. 12
V	417.6	Å³/cell
formation enthalpy at 0 K	0.180	eV per atom

abc: 6.2306 6.7033 12.1573
angles: 80.08 68.25 62.31
Last column: nearest neighbours and their distance in Å.
Sites, in units of the cell vectors:
Ac 0.3280 0.3440 0.0000  4 Sm 3.55-3.96, 5 Ac 3.62-3.89
Ac 0.6720 0.6560 0.0000  4 Sm 3.55-3.96, 5 Ac 3.62-3.89
Ac 0.0000 0.0000 0.0000  6 Sm 3.50-3.88, 6 Ac 3.72-3.89
Nd 0.1405 0.7189 0.5000  1 Nd 3.34, 4 Sm 3.35-3.37
Nd 0.8595 0.2811 0.5000  1 Nd 3.34, 4 Sm 3.35-3.37
Sm 0.1728 0.0000 0.2427  2 Nd 3.35, 3 Ac 3.50-3.55, 4 Sm 3.64-3.70
Sm 0.8272 0.0000 0.7573  2 Nd 3.35, 3 Ac 3.50-3.55, 4 Sm 3.64-3.70
Sm 0.7995 0.6876 0.2912  1 Nd 3.37, 3 Sm 3.64-3.71
Sm 0.5128 0.6876 0.7088  1 Nd 3.37, 3 Sm 3.64-3.71
Sm 0.4872 0.3124 0.2912  1 Nd 3.37, 3 Sm 3.64-3.71
Sm 0.2005 0.3124 0.7088  1 Nd 3.37, 3 Sm 3.64-3.71



Entry 2:
Below is crystalline Ac2NdSm5 at its relaxed geometry, with properties calculated at the PBE level.

spin magnetization	0.00	μB per formula unit
theoretical density	7.7	g cm⁻³
symmetry	I4/mmm, No. 139
V	292.3	Å³/cell
formation enthalpy at 0 K	0.034	eV per atom

abc: 5.3020 5.3020 11.0534
angles: 103.88 103.88 90.00
Last column: nearest neighbours and their distance in Å.
Sites, in units of the cell vectors:
Sm 0.6196 0.1196 0.2393  2 Nd 3.64, 6 Sm 3.64-3.75, 4 Ac 3.79
Sm 0.1196 0.6196 0.2393  6 Sm 3.64-3.75, 2 Nd 3.64, 4 Ac 3.79
Sm 0.5000 0.5000 0.0000  8 Sm 3.64, 4 Nd 3.75
Sm 0.8804 0.3804 0.7607  6 Sm 3.64-3.75, 2 Nd 3.64, 4 Ac 3.79
Sm 0.3804 0.8804 0.7607  2 Nd 3.64, 6 Sm 3.64-3.75, 4 Ac 3.79
Ac 0.2501 0.2501 0.5002  4 Ac 3.75, 8 Sm 3.79
Ac 0.7499 0.7499 0.4998  4 Ac 3.75, 8 Sm 3.79
Nd 0.0000 0.0000 0.0000  12 Sm 3.64-3.75



Entry 3:
Below is crystalline Ac9Nd2Sm at its relaxed geometry, with properties calculated at the PBE level.

spin magnetization	0.00	μB per formula unit
theoretical density	8.1	g cm⁻³
symmetry	P4/mmm, No. 123
V	506.3	Å³/cell
formation enthalpy at 0 K	0.023	eV per atom

abc: 5.5276 5.5276 16.5705
angles: 90.00 90.00 90.00
Last column: nearest neighbours and their distance in Å.
Sites, in units of the cell vectors:
Ac 0.5000 0.5000 0.6671  4 Nd 3.91, 8 Ac 3.91
Ac 0.5000 0.0000 0.5000  8 Ac 3.91, 4 Nd 3.91
Ac 0.5000 0.0000 0.1661  8 Ac 3.90-3.91, 2 Sm 3.90, 2 Nd 3.91
Ac 0.5000 0.0000 0.8339  8 Ac 3.90-3.91, 2 Sm 3.90, 2 Nd 3.91
Ac 0.0000 0.5000 0.8339  8 Ac 3.90-3.91, 2 Sm 3.90, 2 Nd 3.91
Ac 0.0000 0.5000 0.5000  8 Ac 3.91, 4 Nd 3.91
Ac 0.5000 0.5000 0.3329  4 Nd 3.91, 8 Ac 3.91
Ac 0.0000 0.5000 0.1661  8 Ac 3.90-3.91, 2 Sm 3.90, 2 Nd 3.91
Ac 0.5000 0.5000 0.0000  8 Ac 3.90, 4 Sm 3.91
Nd 0.0000 0.0000 0.6671  12 Ac 3.91
Nd 0.0000 0.0000 0.3329  12 Ac 3.91
Sm 0.0000 0.0000 0.0000  12 Ac 3.90-3.91



Entry 4:
Below is crystalline AcNd2Sm3 at its relaxed geometry, with properties calculated at the PBE level.

spin magnetization	0.00	μB per formula unit
theoretical density	7.4	g cm⁻³
E above lowest polymorph	0.00	eV/f.u.
symmetry	P-1, No. 2
V	215.9	Å³/cell
formation enthalpy at 0 K	0.026	eV per atom

abc: 3.7327 7.3990 11.6424
angles: 128.88 71.36 120.39
Last column: nearest neighbours and their distance in Å.
Sites, in units of the cell vectors:
Ac 0.0000 0.0000 0.0000  8 Sm 3.69-3.74, 2 Ac 3.73, 2 Nd 3.74
Nd 0.6647 0.3290 0.6638  8 Sm 3.63-3.72, 3 Nd 3.66-3.73, 1 Ac 3.74
Nd 0.3353 0.6710 0.3362  8 Sm 3.63-3.72, 3 Nd 3.66-3.73, 1 Ac 3.74
Sm 0.6678 0.8299 0.6615  6 Nd 3.63-3.72, 4 Sm 3.65-3.74, 2 Ac 3.74
Sm 0.3322 0.1701 0.3385  6 Nd 3.63-3.72, 4 Sm 3.65-3.74, 2 Ac 3.74
Sm 0.0000 0.5000 0.0000  4 Ac 3.69-3.70, 4 Nd 3.71-3.72, 4 Sm 3.73-3.74



The lowest V belongs to which entry?
AcNd2Sm3